Record 1
Nd2Er2Mg15 | Alexandria via LeMat-Bulk | PBE | optimized geometry; formation energy = 0.00 eV per atom; theoretical density = 3.36 g/cm3; SG = No. 166; crystal system = trigonal; DOS(E_F) = 14.0 states/eV/cell
1.0
7.9264 -0.0353 -0.0315
0.9933 7.8640 -0.0315
0.9933 0.8718 7.8155
Mg Er Nd
15 2 2
Direct
0.7039 0.2961 0.0000
0.3573 0.8446 0.3573
0.1554 0.6427 0.6427
0.0000 0.2961 0.7039
0.7039 0.0000 0.2961
0.2961 0.0000 0.7039
0.0000 0.7039 0.2961
0.3573 0.3573 0.8446
0.6427 0.6427 0.1554
0.8446 0.3573 0.3573
0.5000 0.0000 0.0000
0.2961 0.7039 0.0000
0.6427 0.1554 0.6427
0.0000 0.0000 0.5000
0.0000 0.5000 0.0000
0.1006 0.1006 0.1006
0.8994 0.8994 0.8994
0.3310 0.3310 0.3310
0.6690 0.6690 0.6690

=====

Record 2
Ba4TlAg2Hg | Alexandria via LeMat-Bulk | PBE | optimized geometry; formation energy = -0.33 eV per atom; theoretical density = 6.58 g/cm3; SG = No. 166; crystal system = trigonal; DOS(E_F) = 6.3 states/eV/cell
1.0
-1.5475 2.9935 4.8789
-5.2098 -1.0840 2.6158
1.9239 -6.1666 7.9970
Ag Ba Hg Tl
2 4 1 1
Direct
0.2508 0.2508 0.2476
0.7492 0.7492 0.7524
0.1252 0.1252 0.6243
0.8748 0.8748 0.3757
0.6244 0.6244 0.1267
0.3756 0.3756 0.8733
0.5000 0.5000 0.5000
0.0000 0.0000 0.0000

=====

Record 3
Li2OsCl | Alexandria via LeMat-Bulk | PBE | optimized geometry; theoretical density = 6.36 g/cm3; SG = No. 8; formation energy (no corrections) = 169.0 meV per atom; crystal system = monoclinic; E above lowest polymorph = 484 meV per atom; DOS(E_F) = 2.3 states/eV/cell
1.0
5.3075 -0.0801 -0.0008
4.6424 2.5737 -0.0008
1.2177 0.3052 4.4606
Os Li Cl
1 2 1
Direct
0.5338 0.5338 0.5335
0.7812 0.7812 0.6845
0.9694 0.9694 0.0671
0.2156 0.2156 0.2149

=====

Record 4
MgScS2 | Alexandria via LeMat-Bulk | PBE | optimized geometry; theoretical density = 2.35 g/cm3; SG = No. 166; formation energy (no corrections) = -1320.6 meV per atom; crystal system = trigonal; DOS(E_F) = 1.4 states/eV/cell
1.0
-3.3760 2.0731 7.0248
-1.0913 -0.7376 7.9566
0.2634 2.7286 7.5847
Mg Sc S
1 1 2
Direct
0.0000 0.0000 0.0000
0.5000 0.5000 0.5000
0.8944 0.8944 0.8944
0.1056 0.1056 0.1056

=====

Record 5
BaSrMg2Co | Alexandria via LeMat-Bulk | PBE | optimized geometry; formation energy = 0.16 eV per atom; theoretical density = 3.63 g/cm3; SG = No. 123; crystal system = tetragonal; DOS(E_F) = 4.8 states/eV/cell
1.0
5.2941 0.0000 0.0000
0.0000 5.2941 0.0000
0.0000 0.0000 5.4327
Co Ba Mg Sr
1 1 2 1
Direct
0.0000 0.0000 0.0000
0.5000 0.5000 0.5000
0.0000 0.5000 0.0000
0.5000 0.0000 0.0000
0.0000 0.0000 0.5000

=====

Record 6
TlAg2F | Alexandria via LeMat-Bulk | PBE | optimized geometry; theoretical density = 9.27 g/cm3; SG = No. 122; formation energy (no corrections) = -464.1 meV per atom; crystal system = tetragonal; E above lowest polymorph = 0 meV per atom; DOS(E_F) = 0.8 states/eV/cell
1.0
7.5226 0.0000 0.0000
0.0000 7.5226 0.0000
3.7613 3.7613 2.7809
Ag F Tl
4 2 2
Direct
0.5753 0.1250 0.2500
0.1747 0.6250 0.2500
0.8750 0.8253 0.7500
0.3750 0.4247 0.7500
0.5000 0.5000 0.0000
0.2500 0.7500 0.5000
0.7500 0.2500 0.5000
0.0000 0.0000 0.0000

=====

Record 7
LaPm6Sm3Ho2 | Alexandria via LeMat-Bulk | PBE | optimized geometry; formation energy = 0.02 eV per atom; theoretical density = 7.29 g/cm3; SG = No. 12; crystal system = monoclinic; DOS(E_F) = 17.4 states/eV/cell
1.0
-1.7371 4.3482 -4.2081
-3.7695 -1.3626 4.8546
7.1587 7.4069 6.2727
Pm Ho Sm La
6 2 3 1
Direct
0.0835 0.4182 0.2496
0.7489 0.7489 0.2498
0.2511 0.2511 0.7502
0.9165 0.5818 0.7504
0.4182 0.0835 0.2496
0.5818 0.9165 0.7504
0.3335 0.6665 0.0000
0.6665 0.3335 0.0000
0.8328 0.1672 0.5000
0.5000 0.5000 0.5000
0.1672 0.8328 0.5000
0.0000 0.0000 0.0000

=====

Record 8
LaSiOs3 | Alexandria via LeMat-Bulk | PBE | optimized geometry; theoretical density = 13.12 g/cm3; SG = No. 221; formation energy (no corrections) = 397.5 meV per atom; crystal system = cubic; E above lowest polymorph = 0 meV per atom; DOS(E_F) = 3.7 states/eV/cell
1.0
4.5369 0.0000 0.0000
0.0000 4.5369 0.0000
0.0000 0.0000 4.5369
La Os Si
1 3 1
Direct
0.5000 0.5000 0.5000
0.0000 0.5000 0.0000
0.0000 0.0000 0.5000
0.5000 0.0000 0.0000
0.0000 0.0000 0.0000

=====

The records above yield electronic total energy values of -42.667, -18.705, -16.228, -21.464, -13.080, -23.593, -56.536, -42.052 eV/cell, respectively.
The records above yield calculated volume values of 488, 295, 63, 94, 152, 157, 408, 93 Å³/cell, respectively.